HfCS2 (PBE, optimized geometry); energy relative to the elements, uncorrected = 2.48 eV/f.u.; total DFT energy (no corrections) = -24.949 eV/f.u.; N(E_F) = 0.206 states/eV per atom
1.0
5.191 0.000 0.000
0.000 5.191 0.000
0.000 0.000 10.119
Hf C S
4 4 8
direct
0.000 0.000 0.000
0.000 0.500 0.250
0.500 0.000 0.750
0.500 0.500 0.500
0.000 0.000 0.500
0.000 0.500 0.750
0.500 0.000 0.250
0.500 0.500 0.000
0.174 0.250 0.625
0.250 0.674 0.875
0.250 0.826 0.375
0.326 0.250 0.125
0.674 0.750 0.125
0.750 0.174 0.375
0.750 0.326 0.875
0.826 0.750 0.625